Entry 1:
Density functional theory data (PBE-GGA) for a relaxed ThAl3Co crystal.

The structure belongs to space group Pnma (No. 62); the cell edges are 8.296, 4.079 and 10.809 Å and the angles 90.00°, 90.00° and 90.00°. The asymmetric unit holds Th at (0.184, 0.250, 0.005), Al at (0.051, 0.250, 0.582), Al at (0.114, 0.750, 0.777), Al at (0.143, 0.750, 0.224) and Co at (0.112, 0.250, 0.357).

For the total energy, the calculation gives -5.66 eV per atom. Its density is 6.75 g/cm³. The calculation puts the formation energy at -49.3 kJ/mol of atoms.


Entry 2:
Density functional theory data (PBE-GGA) for a relaxed ScTa2Co crystal.

The structure belongs to space group C2/m (No. 12); the cell edges are 5.359, 9.330 and 2.875 Å and the angles 90.00°, 109.64° and 90.00°. The asymmetric unit holds Sc at (0.000, 0.000, 0.000), Ta at (0.250, 0.250, 0.500) and Co at (0.000, 0.500, 0.000).

For the total energy, the calculation gives -9.11 eV per atom. Its density is 11.42 g/cm³. The calculation puts the formation energy at 17.3 kJ/mol of atoms.


Entry 3:
Density functional theory data (PBE-GGA) for a relaxed Ga2BSe4 crystal.

The structure belongs to space group I-42m (No. 121); the cell edges are 6.026, 6.026 and 9.400 Å and the angles 90.00°, 90.00° and 90.00°. The asymmetric unit holds Ga at (0.000, 0.500, 0.250), B at (0.000, 0.000, 0.000) and Se at (0.216, 0.216, 0.104).

For the total energy, the calculation gives -4.11 eV per atom. Its density is 4.54 g/cm³.


Entry 4:
Density functional theory data (PBE-GGA) for a relaxed Sr2ThAg crystal.

The structure belongs to space group R-3m (No. 166, hexagonal axes); the cell edges are 3.7231, 3.7231 and 36.6401 Å and the angles 90.00°, 90.00° and 120.00°. The asymmetric unit holds Sr at (0.0000, 0.0000, 0.1006), Th at (0.0000, 0.0000, 0.0000) and Ag at (0.0000, 0.0000, 0.5000).

For the total energy, the calculation gives -3.07 eV per atom. Its density is 5.83 g/cm³. The calculation puts the formation energy at 32.9 kJ/mol of atoms.


Entry 5:
Density functional theory data (PBE-GGA) for a relaxed Li2AlW crystal.

The structure belongs to space group Cmmm (No. 65); the cell edges are 3.022, 4.351 and 9.530 Å and the angles 90.00°, 90.00° and 90.00°. The asymmetric unit holds Li at (0.000, 0.000, 0.248), Al at (0.000, 0.500, 0.000) and W at (0.000, 0.500, 0.500).

For the total energy, the calculation gives -4.93 eV per atom. Its density is 5.96 g/cm³. The calculation puts the formation energy at 19.8 kJ/mol of atoms.


Entry 6:
Density functional theory data (PBE-GGA) for a relaxed AlPtBr2 crystal.

The structure belongs to space group Pmmm (No. 47); the cell edges are 3.358, 4.276 and 6.143 Å and the angles 90.00°, 90.00° and 90.00°. The asymmetric unit holds Al at (0.000, 0.000, 0.000), Pt at (0.500, 0.000, 0.500), Br at (0.000, 0.500, 0.500) and Br at (0.500, 0.500, 0.000).

For the total energy, the calculation gives -3.04 eV per atom. Its density is 7.19 g/cm³.


- Among the records above, which one has the lowest density?
  Ga2BSe4


- What is the density in the fourth record?
  5.83 g/cm³